# ScAlGaOs

A geometry-optimized ScAlGaOs structure (GGA-PBE, Alexandria via LeMat-Bulk).

abc: 4.4763 4.4763 4.4762
angles: 60.00 60.00 60.00
With the nearest neighbours (Å) after each atom.
Element x y z (fractional)
Sc 0.8065 0.8065 0.5806  4 Os 2.74, 4 Ga 2.74
Os 0.0565 0.0565 0.8305  4 Al 2.74, 4 Sc 2.74
Ga 0.5565 0.5565 0.3306  4 Sc 2.74, 4 Al 2.74
Al 0.3064 0.3064 0.0807  4 Os 2.74, 4 Ga 2.74

Summary:
SG = F-43m (216)
E above lowest polymorph = 0.509 eV/f.u.
calculated formation energy = -0.311 eV per atom



# Sc3Al3GaOs2

A geometry-optimized Sc3Al3GaOs2 structure (GGA-PBE, Alexandria via LeMat-Bulk).

abc: 3.0938 7.5788 7.5788
angles: 120.00 90.00 90.00
With the nearest neighbours (Å) after each atom.
Element x y z (fractional)
Al 0.0000 0.0000 0.3847  4 Os 2.82, 6 Sc 2.89-3.06, 1 Ga 2.92, 2 Al 3.09
Al 0.0000 0.6153 0.6153  4 Os 2.82, 6 Sc 2.89-3.06, 1 Ga 2.92, 2 Al 3.09
Al 0.0000 0.3847 0.0000  4 Os 2.82, 6 Sc 2.89-3.06, 1 Ga 2.92, 2 Al 3.09
Sc 0.5000 0.0000 0.7075  2 Os 2.69, 2 Ga 2.70, 2 Al 2.89
Sc 0.5000 0.7075 0.0000  2 Os 2.69, 2 Ga 2.70, 2 Al 2.89
Sc 0.5000 0.2925 0.2925  2 Os 2.69, 2 Ga 2.70, 2 Al 2.89
Os 0.5000 0.3333 0.6667  3 Sc 2.69, 6 Al 2.82
Os 0.5000 0.6667 0.3333  3 Sc 2.69, 6 Al 2.82
Ga 0.0000 0.0000 0.0000  6 Sc 2.70, 3 Al 2.92

Summary:
SG = P-62m (189)
calculated formation energy = -0.309 eV per atom



# ScAlGaOs

A geometry-optimized ScAlGaOs structure (GGA-PBE, Alexandria via LeMat-Bulk).

abc: 4.4468 4.4468 4.4468
angles: 60.00 60.00 60.00
With the nearest neighbours (Å) after each atom.
Element x y z (fractional)
Os 0.5000 0.5000 0.5000  4 Al 2.72, 4 Ga 2.72
Sc 0.0000 0.0000 0.0000  4 Al 2.72, 4 Ga 2.72
Ga 0.2500 0.2500 0.2500  4 Os 2.72, 4 Sc 2.72
Al 0.7500 0.7500 0.7500  4 Os 2.72, 4 Sc 2.72

Summary:
SG = F-43m (216)
E above lowest polymorph = 0.000 eV/f.u.
calculated formation energy = -0.438 eV per atom



# SrAl2GaOs

A geometry-optimized SrAl2GaOs structure (GGA-PBE, Alexandria via LeMat-Bulk).

abc: 4.8009 4.8009 4.8558
angles: 90.00 90.00 90.00
With the nearest neighbours (Å) after each atom.
Element x y z (fractional)
Sr 0.5000 0.5000 0.5000  4 Ga 3.39, 8 Al 3.41
Al 0.0000 0.5000 0.0000  2 Os 2.40
Al 0.5000 0.0000 0.0000  2 Os 2.40
Ga 0.0000 0.0000 0.5000  2 Os 2.43
Os 0.0000 0.0000 0.0000  4 Al 2.40, 2 Ga 2.43

Summary:
SG = P4/mmm (123)
calculated formation energy = -0.304 eV per atom



# AlGaTcOs2

A geometry-optimized AlGaTcOs2 structure (GGA-PBE, Alexandria via LeMat-Bulk).

abc: 4.4478 4.4178 4.4478
angles: 90.00 90.00 90.00
With the nearest neighbours (Å) after each atom.
Element x y z (fractional)
Os 0.5000 0.0000 0.0000  2 Al 2.22
Os 0.0000 0.0000 0.5000  2 Al 2.22
Al 0.0000 0.0000 0.0000  2 Ga 2.21, 4 Os 2.22
Ga 0.0000 0.5000 0.0000  2 Al 2.21
Tc 0.5000 0.5000 0.5000  8 Os 3.13, 4 Ga 3.15

Summary:
SG = P4/mmm (123)
calculated formation energy = 1.588 eV per atom



# TiAlGaOs

A geometry-optimized TiAlGaOs structure (GGA-PBE, Alexandria via LeMat-Bulk).

abc: 3.1131 3.1131 6.1867
angles: 90.00 90.00 90.00
With the nearest neighbours (Å) after each atom.
Element x y z (fractional)
Ga 0.5000 0.5000 0.6025  4 Al 2.74, 4 Ti 2.75, 1 Os 3.00
Os 0.5000 0.5000 0.1172  4 Al 2.59, 4 Ti 2.68
Ti 0.0000 0.0000 0.8693  4 Os 2.68, 4 Ga 2.75, 1 Al 2.91
Al 0.0000 0.0000 0.3389  4 Os 2.59, 4 Ga 2.74

Summary:
SG = P4mm (99)
calculated formation energy = -0.444 eV per atom